1.
DFT (GGA-PBE) results for an optimized crystal structure of ScPaIn.

Cell and atoms, written as CIF:
```
data_ScPaIn
_cell_length_a 7.085
_cell_length_b 7.085
_cell_length_c 7.085
_cell_angle_alpha 90.00
_cell_angle_beta 90.00
_cell_angle_gamma 90.00
_symmetry_space_group_name_H-M 'F -4 3 m'
_symmetry_Int_Tables_number 216
_symmetry_space_group_name_Hall 'F -4 2 3'
loop_
_atom_site_label
_atom_site_fract_x
_atom_site_fract_y
_atom_site_fract_z
Sc1 0.000 0.000 0.000
Pa1 0.000 0.000 0.500
In1 0.250 0.250 0.750
```

Values from the calculation:
E above lowest polymorph   0.00 eV per formula unit

2.
DFT (GGA-PBE) results for an optimized crystal structure of ScPaIn.

Cell and atoms, written as CIF:
```
data_ScPaIn
_cell_length_a 7.191
_cell_length_b 7.191
_cell_length_c 7.191
_cell_angle_alpha 90.00
_cell_angle_beta 90.00
_cell_angle_gamma 90.00
_symmetry_space_group_name_H-M 'F -4 3 m'
_symmetry_Int_Tables_number 216
_symmetry_space_group_name_Hall 'F -4 2 3'
loop_
_atom_site_label
_atom_site_fract_x
_atom_site_fract_y
_atom_site_fract_z
Sc1 0.000 0.000 0.000
Pa1 0.250 0.250 0.750
In1 0.000 0.000 0.500
```

Values from the calculation:
E above lowest polymorph   1.20 eV per formula unit

3.
DFT (GGA-PBE) results for an optimized crystal structure of PaInSn.

Cell and atoms, written as CIF:
```
data_PaInSn
_cell_length_a 7.123
_cell_length_b 7.123
_cell_length_c 7.123
_cell_angle_alpha 90.00
_cell_angle_beta 90.00
_cell_angle_gamma 90.00
_symmetry_space_group_name_H-M 'F -4 3 m'
_symmetry_Int_Tables_number 216
_symmetry_space_group_name_Hall 'F -4 2 3'
loop_
_atom_site_label
_atom_site_fract_x
_atom_site_fract_y
_atom_site_fract_z
Pa1 0.000 0.000 0.000
In1 0.000 0.000 0.500
Sn1 0.250 0.250 0.750
```

Values from the calculation:
E above lowest polymorph   0.22 eV per formula unit

4.
DFT (GGA-PBE) results for an optimized crystal structure of PaInSn.

Cell and atoms, written as CIF:
```
data_PaInSn
_cell_length_a 7.257
_cell_length_b 7.257
_cell_length_c 7.257
_cell_angle_alpha 90.00
_cell_angle_beta 90.00
_cell_angle_gamma 90.00
_symmetry_space_group_name_H-M 'F -4 3 m'
_symmetry_Int_Tables_number 216
_symmetry_space_group_name_Hall 'F -4 2 3'
loop_
_atom_site_label
_atom_site_fract_x
_atom_site_fract_y
_atom_site_fract_z
Pa1 0.000 0.000 0.000
In1 0.250 0.250 0.750
Sn1 0.250 0.250 0.250
```

Values from the calculation:
E above lowest polymorph   0.00 eV per formula unit

5.
DFT (GGA-PBE) results for an optimized crystal structure of PaInSn2.

Cell and atoms, written as CIF:
```
data_PaInSn2
_cell_length_a 4.737
_cell_length_b 4.737
_cell_length_c 4.479
_cell_angle_alpha 90.00
_cell_angle_beta 90.00
_cell_angle_gamma 90.00
_symmetry_space_group_name_H-M 'P 4/m m m'
_symmetry_Int_Tables_number 123
_symmetry_space_group_name_Hall '-P 4 2'
loop_
_atom_site_label
_atom_site_fract_x
_atom_site_fract_y
_atom_site_fract_z
Pa1 0.000 0.000 0.000
In1 0.500 0.500 0.000
Sn1 0.000 0.500 0.500
```

Values from the calculation:
E   -5.3346 eV per atom

6.
DFT (GGA-PBE) results for an optimized crystal structure of ThPaIn.

Cell and atoms, written as CIF:
```
data_ThPaIn
_cell_length_a 7.294
_cell_length_b 7.294
_cell_length_c 7.294
_cell_angle_alpha 90.00
_cell_angle_beta 90.00
_cell_angle_gamma 90.00
_symmetry_space_group_name_H-M 'F -4 3 m'
_symmetry_Int_Tables_number 216
_symmetry_space_group_name_Hall 'F -4 2 3'
loop_
_atom_site_label
_atom_site_fract_x
_atom_site_fract_y
_atom_site_fract_z
Th1 0.000 0.000 0.000
Pa1 0.000 0.000 0.500
In1 0.250 0.250 0.750
```

Values from the calculation:
E above lowest polymorph   0.00 eV per formula unit

7.
DFT (GGA-PBE) results for an optimized crystal structure of TmPaIn.

Cell and atoms, written as CIF:
```
data_TmPaIn
_cell_length_a 7.179
_cell_length_b 7.179
_cell_length_c 7.179
_cell_angle_alpha 90.00
_cell_angle_beta 90.00
_cell_angle_gamma 90.00
_symmetry_space_group_name_H-M 'F -4 3 m'
_symmetry_Int_Tables_number 216
_symmetry_space_group_name_Hall 'F -4 2 3'
loop_
_atom_site_label
_atom_site_fract_x
_atom_site_fract_y
_atom_site_fract_z
Tm1 0.000 0.000 0.000
Pa1 0.000 0.000 0.500
In1 0.250 0.250 0.750
```

Values from the calculation:
E above lowest polymorph   0.00 eV per formula unit

8.
DFT (GGA-PBE) results for an optimized crystal structure of PaInW.

Cell and atoms, written as CIF:
```
data_PaInW
_cell_length_a 6.712
_cell_length_b 6.712
_cell_length_c 6.712
_cell_angle_alpha 90.00
_cell_angle_beta 90.00
_cell_angle_gamma 90.00
_symmetry_space_group_name_H-M 'F -4 3 m'
_symmetry_Int_Tables_number 216
_symmetry_space_group_name_Hall 'F -4 2 3'
loop_
_atom_site_label
_atom_site_fract_x
_atom_site_fract_y
_atom_site_fract_z
Pa1 0.000 0.000 0.000
In1 0.250 0.250 0.250
W1 0.000 0.000 0.500
```

Values from the calculation:
E above lowest polymorph   0.00 eV per formula unit

9.
DFT (GGA-PBE) results for an optimized crystal structure of PaInW.

Cell and atoms, written as CIF:
```
data_PaInW
_cell_length_a 6.804
_cell_length_b 6.804
_cell_length_c 6.804
_cell_angle_alpha 90.00
_cell_angle_beta 90.00
_cell_angle_gamma 90.00
_symmetry_space_group_name_H-M 'F -4 3 m'
_symmetry_Int_Tables_number 216
_symmetry_space_group_name_Hall 'F -4 2 3'
loop_
_atom_site_label
_atom_site_fract_x
_atom_site_fract_y
_atom_site_fract_z
Pa1 0.000 0.000 0.000
In1 0.250 0.250 0.750
W1 0.250 0.250 0.250
```

Values from the calculation:
E above lowest polymorph   0.74 eV per formula unit

10.
DFT (GGA-PBE) results for an optimized crystal structure of YPaIn.

Cell and atoms, written as CIF:
```
data_YPaIn
_cell_length_a 7.291
_cell_length_b 7.291
_cell_length_c 7.291
_cell_angle_alpha 90.00
_cell_angle_beta 90.00
_cell_angle_gamma 90.00
_symmetry_space_group_name_H-M 'F -4 3 m'
_symmetry_Int_Tables_number 216
_symmetry_space_group_name_Hall 'F -4 2 3'
loop_
_atom_site_label
_atom_site_fract_x
_atom_site_fract_y
_atom_site_fract_z
Y1 0.000 0.000 0.000
Pa1 0.000 0.000 0.500
In1 0.250 0.250 0.750
```

Values from the calculation:
E above lowest polymorph   0.00 eV per formula unit

11.
DFT (GGA-PBE) results for an optimized crystal structure of InPd2Pb.

Cell and atoms, written as CIF:
```
data_InPd2Pb
_cell_length_a 4.607
_cell_length_b 4.607
_cell_length_c 3.625
_cell_angle_alpha 90.00
_cell_angle_beta 90.00
_cell_angle_gamma 90.00
_symmetry_space_group_name_H-M 'P 4/m m m'
_symmetry_Int_Tables_number 123
_symmetry_space_group_name_Hall '-P 4 2'
loop_
_atom_site_label
_atom_site_fract_x
_atom_site_fract_y
_atom_site_fract_z
In1 0.000 0.000 0.000
Pd1 0.000 0.500 0.500
Pb1 0.500 0.500 0.000
```

Values from the calculation:
E   -4.4785 eV per atom

12.
DFT (GGA-PBE) results for an optimized crystal structure of Pr3InPdPt2Pb2.

Cell and atoms, written as CIF:
```
data_Pr3InPdPt2Pb2
_cell_length_a 4.075
_cell_length_b 13.789
_cell_length_c 7.873
_cell_angle_alpha 90.00
_cell_angle_beta 90.00
_cell_angle_gamma 90.00
_symmetry_space_group_name_H-M 'A m m 2'
_symmetry_Int_Tables_number 38
_symmetry_space_group_name_Hall 'A 2 -2'
loop_
_atom_site_label
_atom_site_fract_x
_atom_site_fract_y
_atom_site_fract_z
Pr1 0.000 0.000 0.000
Pr2 0.000 0.205 0.375
In1 0.500 0.000 0.329
Pd1 0.000 0.000 0.576
Pt1 0.500 0.163 0.091
Pb1 0.500 0.128 0.709
```

Values from the calculation:
E   -5.4898 eV per atom

13.
DFT (GGA-PBE) results for an optimized crystal structure of Tb3InPd2PtPb2.

Cell and atoms, written as CIF:
```
data_Tb3InPd2PtPb2
_cell_length_a 3.888
_cell_length_b 13.591
_cell_length_c 7.772
_cell_angle_alpha 90.00
_cell_angle_beta 90.00
_cell_angle_gamma 90.00
_symmetry_space_group_name_H-M 'A m m 2'
_symmetry_Int_Tables_number 38
_symmetry_space_group_name_Hall 'A 2 -2'
loop_
_atom_site_label
_atom_site_fract_x
_atom_site_fract_y
_atom_site_fract_z
Tb1 0.000 0.000 0.000
Tb2 0.000 0.197 0.390
In1 0.500 0.000 0.328
Pd1 0.500 0.164 0.098
Pt1 0.000 0.000 0.587
Pb1 0.500 0.134 0.726
```

Values from the calculation:
E   -5.2892 eV per atom

14.
DFT (GGA-PBE) results for an optimized crystal structure of PrInTe3Pb.

Cell and atoms, written as CIF:
```
data_PrInTe3Pb
_cell_length_a 4.549
_cell_length_b 15.299
_cell_length_c 11.140
_cell_angle_alpha 90.00
_cell_angle_beta 90.00
_cell_angle_gamma 90.00
_symmetry_space_group_name_H-M 'C m c m'
_symmetry_Int_Tables_number 63
_symmetry_space_group_name_Hall '-C 2c 2'
loop_
_atom_site_label
_atom_site_fract_x
_atom_site_fract_y
_atom_site_fract_z
Pr1 0.000 0.000 0.000
In1 0.000 0.478 0.250
Te1 0.000 0.116 0.250
Te2 0.000 0.350 0.041
Pb1 0.000 0.224 0.750
```

Values from the calculation:
E   -4.0525 eV per atom

15.
DFT (GGA-PBE) results for an optimized crystal structure of RbInPtPb2.

Cell and atoms, written as CIF:
```
data_RbInPtPb2
_cell_length_a 5.092
_cell_length_b 5.092
_cell_length_c 11.610
_cell_angle_alpha 90.00
_cell_angle_beta 90.00
_cell_angle_gamma 90.00
_symmetry_space_group_name_H-M 'I 4 m m'
_symmetry_Int_Tables_number 107
_symmetry_space_group_name_Hall 'I 4 -2'
loop_
_atom_site_label
_atom_site_fract_x
_atom_site_fract_y
_atom_site_fract_z
Rb1 0.000 0.000 0.000
In1 0.000 0.000 0.591
Pt1 0.000 0.000 0.363
Pb1 0.000 0.500 0.257
```

Values from the calculation:
E   -3.6388 eV per atom

16.
DFT (GGA-PBE) results for an optimized crystal structure of SrInPt2Pb.

Cell and atoms, written as CIF:
```
data_SrInPt2Pb
_cell_length_a 4.924
_cell_length_b 4.698
_cell_length_c 10.649
_cell_angle_alpha 90.00
_cell_angle_beta 93.39
_cell_angle_gamma 90.00
_symmetry_space_group_name_H-M 'P 1 21/m 1'
_symmetry_Int_Tables_number 11
_symmetry_space_group_name_Hall '-P 2yb'
loop_
_atom_site_label
_atom_site_fract_x
_atom_site_fract_y
_atom_site_fract_z
Sr1 0.223 0.250 0.248
In1 0.245 0.750 0.495
Pt1 0.159 0.750 0.995
Pt2 0.270 0.250 0.625
Pb1 0.327 0.250 0.881
```

Values from the calculation:
E above lowest polymorph   0.00 eV per formula unit

17.
DFT (GGA-PBE) results for an optimized crystal structure of SrInPt2Pb.

Cell and atoms, written as CIF:
```
data_SrInPt2Pb
_cell_length_a 4.861
_cell_length_b 4.861
_cell_length_c 10.606
_cell_angle_alpha 90.00
_cell_angle_beta 90.00
_cell_angle_gamma 90.00
_symmetry_space_group_name_H-M 'P 4/n m m'
_symmetry_Int_Tables_number 129
loop_
_symmetry_equiv_pos_as_xyz
'x,y,z'
'-x,-y,-z'
'-y+1/2,x,z'
'y+1/2,-x,-z'
'-x+1/2,-y+1/2,z'
'x+1/2,y+1/2,-z'
'y,-x+1/2,z'
'-y,x+1/2,-z'
'x+1/2,-y,-z'
'-x+1/2,y,z'
'-y,-x,-z'
'y,x,z'
'-x,y+1/2,-z'
'x,-y+1/2,z'
'y+1/2,x+1/2,-z'
'-y+1/2,-x+1/2,z'
loop_
_atom_site_label
_atom_site_fract_x
_atom_site_fract_y
_atom_site_fract_z
Sr1 0.250 0.250 0.227
In1 0.250 0.250 0.886
Pt1 0.250 0.250 0.636
Pt2 0.250 0.750 0.000
Pb1 0.250 0.750 0.500
```

Values from the calculation:
E above lowest polymorph   0.07 eV per formula unit

18.
DFT (GGA-PBE) results for an optimized crystal structure of Tm2InPt4Pb.

Cell and atoms, written as CIF:
```
data_Tm2InPt4Pb
_cell_length_a 4.6001
_cell_length_b 4.6001
_cell_length_c 8.9674
_cell_angle_alpha 90.00
_cell_angle_beta 90.00
_cell_angle_gamma 120.00
_symmetry_space_group_name_H-M 'P -3 m 1'
_symmetry_Int_Tables_number 164
_symmetry_space_group_name_Hall '-P 3 2"'
loop_
_atom_site_label
_atom_site_fract_x
_atom_site_fract_y
_atom_site_fract_z
Tm1 0.3333 0.6667 0.2457
In1 0.0000 0.0000 0.0000
Pt1 0.3333 0.6667 0.6003
Pt2 0.3333 0.6667 0.9121
Pb1 0.0000 0.0000 0.5000
```

Values from the calculation:
E   -5.8227 eV per atom

19.
DFT (GGA-PBE) results for an optimized crystal structure of PuInPb.

Cell and atoms, written as CIF:
```
data_PuInPb
_cell_length_a 7.215
_cell_length_b 7.215
_cell_length_c 7.215
_cell_angle_alpha 90.00
_cell_angle_beta 90.00
_cell_angle_gamma 90.00
_symmetry_space_group_name_H-M 'F -4 3 m'
_symmetry_Int_Tables_number 216
_symmetry_space_group_name_Hall 'F -4 2 3'
loop_
_atom_site_label
_atom_site_fract_x
_atom_site_fract_y
_atom_site_fract_z
Pu1 0.000 0.000 0.000
In1 0.250 0.250 0.750
Pb1 0.000 0.000 0.500
```

Values from the calculation:
E   -6.7753 eV per atom

20.
DFT (GGA-PBE) results for an optimized crystal structure of TbInPbS3.

Cell and atoms, written as CIF:
```
data_TbInPbS3
_cell_length_a 4.000
_cell_length_b 14.412
_cell_length_c 11.117
_cell_angle_alpha 90.00
_cell_angle_beta 90.00
_cell_angle_gamma 90.00
_symmetry_space_group_name_H-M 'C m c m'
_symmetry_Int_Tables_number 63
_symmetry_space_group_name_Hall '-C 2c 2'
loop_
_atom_site_label
_atom_site_fract_x
_atom_site_fract_y
_atom_site_fract_z
Tb1 0.000 0.000 0.000
In1 0.000 0.358 0.250
Pb1 0.000 0.328 0.750
S1 0.000 0.011 0.750
S2 0.000 0.370 0.501
```

Values from the calculation:
E   -4.9196 eV per atom